[1]
Material: SrLaRe2
Method: DFT, PBE-GGA
State: relaxed

CIF file:
```
data_SrLaRe2
_chemical_formula_sum 'Sr1 La1 Re2'
_space_group_name_H-M_alt 'P 1 2/m 1'
_space_group_IT_number 10
_cell_length_a 3.2468
_cell_length_b 4.8745
_cell_length_c 6.7304
_cell_angle_alpha 90.00
_cell_angle_beta 99.21
_cell_angle_gamma 90.00
loop_
_space_group_symop_operation_xyz
'x,y,z'
'-x,-y,-z'
'-x,y,-z'
'x,-y,z'
loop_
_atom_site_label
_atom_site_type_symbol
_atom_site_fract_x
_atom_site_fract_y
_atom_site_fract_z
Sr1 Sr 0.0000 0.0000 0.0000
La1 La 0.5000 0.0000 0.5000
Re1 Re 0.2254 0.5000 0.6562
```

Properties
volume	105.14	Å³ per cell
energy relative to the lowest polymorph listed for this composition	0.619	eV/atom
E_form	844	meV per atom
calculated total energy	-7.033	eV per atom

[2]
Material: Rb3Er3BiSe8
Method: DFT, PBE-GGA
State: relaxed

CIF file:
```
data_Rb3Er3BiSe8
_chemical_formula_sum 'Rb6 Er6 Bi2 Se16'
_space_group_name_H-M_alt 'C 1 2/m 1'
_space_group_IT_number 12
_cell_length_a 14.4345
_cell_length_b 8.3234
_cell_length_c 9.4822
_cell_angle_alpha 90.00
_cell_angle_beta 120.56
_cell_angle_gamma 90.00
loop_
_space_group_symop_operation_xyz
'x,y,z'
'-x,-y,-z'
'-x,y,-z'
'x,-y,z'
'x+1/2,y+1/2,z'
'-x+1/2,-y+1/2,-z'
'-x+1/2,y+1/2,-z'
'x+1/2,-y+1/2,z'
loop_
_atom_site_label
_atom_site_type_symbol
_atom_site_fract_x
_atom_site_fract_y
_atom_site_fract_z
Rb1 Rb 0.0000 0.0000 0.0000
Rb2 Rb 0.2500 0.2500 0.0000
Er1 Er 0.0000 0.5000 0.5000
Er2 Er 0.2500 0.2500 0.5000
Bi1 Bi 0.0000 0.0000 0.5000
Se1 Se 0.0200 0.2552 0.3051
Se2 Se 0.2312 0.5000 0.6933
Se3 Se 0.2352 0.0000 0.6950
```

Properties
volume	981.03	Å³ per cell
calculated total energy	-4.644	eV per atom

[3]
Material: CoCuTe2
Method: DFT, PBE-GGA
State: relaxed

CIF file:
```
data_CoCuTe2
_chemical_formula_sum 'Co2 Cu2 Te4'
_space_group_name_H-M_alt 'A m m 2'
_space_group_IT_number 38
_cell_length_a 4.6596
_cell_length_b 4.9336
_cell_length_c 7.1655
_cell_angle_alpha 90.00
_cell_angle_beta 90.00
_cell_angle_gamma 90.00
loop_
_space_group_symop_operation_xyz
'x,y,z'
'-x,-y,z'
'-x,y,z'
'x,-y,z'
'x,y+1/2,z+1/2'
'-x,-y+1/2,z+1/2'
'-x,y+1/2,z+1/2'
'x,-y+1/2,z+1/2'
loop_
_atom_site_label
_atom_site_type_symbol
_atom_site_fract_x
_atom_site_fract_y
_atom_site_fract_z
Co1 Co 0.0000 0.0000 0.0000
Cu1 Cu 0.5000 0.0000 0.1880
Te1 Te 0.0000 0.0000 0.3614
Te2 Te 0.5000 0.0000 0.8316
```

Properties
volume	164.72	Å³ per cell
energy relative to the lowest polymorph listed for this composition	0.005	eV/atom
calculated total energy	-4.326	eV per atom

[4]
Material: Ti2Cu2Ni
Method: DFT, PBE-GGA
State: relaxed

CIF file:
```
data_Ti2Cu2Ni
_chemical_formula_sum 'Ti4 Cu4 Ni2'
_space_group_name_H-M_alt 'P 4/m b m'
_space_group_IT_number 127
_space_group_name_Hall '-P 4 2ab'
_cell_length_a 6.5612
_cell_length_b 6.5612
_cell_length_c 3.2643
_cell_angle_alpha 90.00
_cell_angle_beta 90.00
_cell_angle_gamma 90.00
loop_
_atom_site_label
_atom_site_type_symbol
_atom_site_fract_x
_atom_site_fract_y
_atom_site_fract_z
Ti1 Ti 0.1741 0.3259 0.0000
Cu1 Cu 0.1288 0.6288 0.5000
Ni1 Ni 0.0000 0.0000 0.5000
```

Properties
volume	140.53	Å³ per cell
energy relative to the lowest polymorph listed for this composition	0.082	eV/atom
E_form	-25	meV per atom
calculated total energy	-5.978	eV per atom

[5]
Material: ErUSe2
Method: DFT, PBE-GGA
State: relaxed

CIF file:
```
data_ErUSe2
_chemical_formula_sum 'Er3 U3 Se6'
_space_group_name_H-M_alt 'R -3 m'
_space_group_IT_number 166
_space_group_name_Hall '-R 3 2"'
_cell_length_a 3.8980
_cell_length_b 3.8980
_cell_length_c 27.3647
_cell_angle_alpha 90.00
_cell_angle_beta 90.00
_cell_angle_gamma 120.00
loop_
_atom_site_label
_atom_site_type_symbol
_atom_site_fract_x
_atom_site_fract_y
_atom_site_fract_z
Er1 Er 0.0000 0.0000 0.0000
U1 U 0.0000 0.0000 0.5000
Se1 Se 0.0000 0.0000 0.1013
```

Properties
volume	360.09	Å³ per cell
energy relative to the lowest polymorph listed for this composition	0.446	eV/atom
calculated total energy	-6.565	eV per atom

[6]
Material: HoCdBi
Method: DFT, PBE-GGA
State: relaxed

CIF file:
```
data_HoCdBi
_chemical_formula_sum 'Ho6 Cd6 Bi6'
_space_group_name_H-M_alt 'R -3 m'
_space_group_IT_number 166
_space_group_name_Hall '-R 3 2"'
_cell_length_a 4.9536
_cell_length_b 4.9536
_cell_length_c 25.3274
_cell_angle_alpha 90.00
_cell_angle_beta 90.00
_cell_angle_gamma 120.00
loop_
_atom_site_label
_atom_site_type_symbol
_atom_site_fract_x
_atom_site_fract_y
_atom_site_fract_z
Ho1 Ho 0.0000 0.0000 0.0730
Cd1 Cd 0.0000 0.0000 0.3395
Bi1 Bi 0.0000 0.0000 0.2097
```

Properties
volume	538.23	Å³ per cell
energy relative to the lowest polymorph listed for this composition	0.034	eV/atom
E_form	-262	meV per atom
calculated total energy	-3.387	eV per atom

[7]
Material: TaCr2Os
Method: DFT, PBE-GGA
State: relaxed

CIF file:
```
data_TaCr2Os
_chemical_formula_sum 'Ta1 Cr2 Os1'
_space_group_name_H-M_alt 'P 1 m 1'
_space_group_IT_number 6
_cell_length_a 2.7165
_cell_length_b 4.1748
_cell_length_c 5.0611
_cell_angle_alpha 90.00
_cell_angle_beta 100.81
_cell_angle_gamma 90.00
loop_
_space_group_symop_operation_xyz
'x,y,z'
'x,-y,z'
loop_
_atom_site_label
_atom_site_type_symbol
_atom_site_fract_x
_atom_site_fract_y
_atom_site_fract_z
Ta1 Ta 0.0000 0.0000 0.0000
Cr1 Cr 0.5360 0.0000 0.4852
Cr2 Cr 0.7356 0.5000 0.2715
Os1 Os 0.2596 0.5000 0.7342
```

Properties
volume	56.38	Å³ per cell
energy relative to the lowest polymorph listed for this composition	0.087	eV/atom
E_form	50	meV per atom
calculated total energy	-10.532	eV per atom

[8]
Material: InOs2Pt
Method: DFT, PBE-GGA
State: relaxed

CIF file:
```
data_InOs2Pt
_chemical_formula_sum 'In2 Os4 Pt2'
_space_group_name_H-M_alt 'I m m m'
_space_group_IT_number 71
_space_group_name_Hall '-I 2 2'
_cell_length_a 2.7844
_cell_length_b 4.7366
_cell_length_c 9.9414
_cell_angle_alpha 90.00
_cell_angle_beta 90.00
_cell_angle_gamma 90.00
loop_
_atom_site_label
_atom_site_type_symbol
_atom_site_fract_x
_atom_site_fract_y
_atom_site_fract_z
In1 In 0.0000 0.0000 0.0000
Os1 Os 0.0000 0.5000 0.2349
Pt1 Pt 0.0000 0.0000 0.5000
```

Properties
volume	131.11	Å³ per cell
energy relative to the lowest polymorph listed for this composition	0.356	eV/atom
E_form	446	meV per atom
calculated total energy	-7.364	eV per atom

[9]
Material: CdInI2N
Method: DFT, PBE-GGA
State: relaxed

CIF file:
```
data_CdInI2N
_chemical_formula_sum 'Cd1 In1 I2 N1'
_space_group_name_H-M_alt 'P 4/m m m'
_space_group_IT_number 123
_space_group_name_Hall '-P 4 2'
_cell_length_a 6.1472
_cell_length_b 6.1472
_cell_length_c 4.0800
_cell_angle_alpha 90.00
_cell_angle_beta 90.00
_cell_angle_gamma 90.00
loop_
_atom_site_label
_atom_site_type_symbol
_atom_site_fract_x
_atom_site_fract_y
_atom_site_fract_z
Cd1 Cd 0.0000 0.0000 0.0000
In1 In 0.5000 0.5000 0.5000
I1 I 0.0000 0.5000 0.5000
N1 N 0.5000 0.5000 0.0000
```

Properties
volume	154.17	Å³ per cell
energy relative to the lowest polymorph listed for this composition	0.111	eV/atom
calculated total energy	-2.505	eV per atom

[10]
Material: TcGeN
Method: DFT, PBE-GGA
State: relaxed

CIF file:
```
data_TcGeN
_chemical_formula_sum 'Tc2 Ge2 N2'
_space_group_name_H-M_alt 'P 1 m 1'
_space_group_IT_number 6
_cell_length_a 5.2379
_cell_length_b 2.8334
_cell_length_c 5.6030
_cell_angle_alpha 90.00
_cell_angle_beta 103.17
_cell_angle_gamma 90.00
loop_
_space_group_symop_operation_xyz
'x,y,z'
'x,-y,z'
loop_
_atom_site_label
_atom_site_type_symbol
_atom_site_fract_x
_atom_site_fract_y
_atom_site_fract_z
Tc1 Tc 0.0000 0.0000 0.0000
Tc2 Tc 0.1915 0.5000 0.6245
Ge1 Ge 0.6483 0.5000 0.1804
Ge2 Ge 0.6813 0.5000 0.6509
N1 N 0.1303 0.0000 0.3776
N2 N 0.2836 0.5000 0.9945
```

Properties
volume	80.97	Å³ per cell
energy relative to the lowest polymorph listed for this composition	0.101	eV/atom
calculated total energy	-7.713	eV per atom

[11]
Material: Pu3CuAu3
Method: DFT, PBE-GGA
State: relaxed

CIF file:
```
data_Pu3CuAu3
_chemical_formula_sum 'Pu6 Cu2 Au6'
_space_group_name_H-M_alt 'I m m 2'
_space_group_IT_number 44
_cell_length_a 3.2235
_cell_length_b 4.8341
_cell_length_c 19.8176
_cell_angle_alpha 90.00
_cell_angle_beta 90.00
_cell_angle_gamma 90.00
loop_
_space_group_symop_operation_xyz
'x,y,z'
'-x,-y,z'
'-x,y,z'
'x,-y,z'
'x+1/2,y+1/2,z+1/2'
'-x+1/2,-y+1/2,z+1/2'
'-x+1/2,y+1/2,z+1/2'
'x+1/2,-y+1/2,z+1/2'
loop_
_atom_site_label
_atom_site_type_symbol
_atom_site_fract_x
_atom_site_fract_y
_atom_site_fract_z
Pu1 Pu 0.0000 0.0000 0.0000
Pu2 Pu 0.0000 0.0000 0.3940
Pu3 Pu 0.0000 0.5000 0.2014
Cu1 Cu 0.0000 0.5000 0.7684
Au1 Au 0.0000 0.0000 0.5539
Au2 Au 0.0000 0.0000 0.8381
Au3 Au 0.0000 0.5000 0.6368
```

Properties
volume	308.81	Å³ per cell
E_form	-285	meV per atom
calculated total energy	-8.417	eV per atom

[12]
Material: Ti3BiC
Method: DFT, PBE-GGA
State: relaxed

CIF file:
```
data_Ti3BiC
_chemical_formula_sum 'Ti3 Bi1 C1'
_space_group_name_H-M_alt 'P m -3 m'
_space_group_IT_number 221
_space_group_name_Hall '-P 4 2 3'
_cell_length_a 5.2089
_cell_length_b 5.2089
_cell_length_c 5.2089
_cell_angle_alpha 90.00
_cell_angle_beta 90.00
_cell_angle_gamma 90.00
loop_
_atom_site_label
_atom_site_type_symbol
_atom_site_fract_x
_atom_site_fract_y
_atom_site_fract_z
Ti1 Ti 0.0000 0.0000 0.5000
Bi1 Bi 0.0000 0.0000 0.0000
C1 C 0.5000 0.5000 0.5000
```

Properties
volume	141.33	Å³ per cell
E_form	2338	meV per atom
calculated total energy	-5.020	eV per atom